DFT (PBEsol) results for Ca2ZrRu after structural relaxation.

The structure in POSCAR format:
```
Ca2ZrRu
1.0
3.355 0.000 0.000
0.000 3.355 0.000
0.000 0.000 9.119
Ca Zr Ru
2 1 1
Direct
0.000 0.000 0.000
0.500 0.500 0.351
0.500 0.500 0.704
0.000 0.000 0.569
```

**ΔE_f**: -0.052 eV per atom
**Final energy**: -5.934 eV/atom